# 1
RbB2SI: relaxed, PBE-GGA.

Structure (POSCAR):
```
RbB2SI
1.0
4.5232 0.0000 0.0000
0.0000 4.5232 0.0000
0.0000 0.0000 10.0665
Rb B S I
1 2 1 1
Cartesian
0.0000 0.0000 0.0000
0.0000 2.2616 5.0333
2.2616 0.0000 5.0333
2.2616 2.2616 5.0333
2.2616 2.2616 0.0000
```

Calculated values
Raw formation energy: 1.1296 eV/atom
VASP energy: -2.870 eV per atom
Crystal system: tetragonal

***

# 2
Rb2BSbI6: relaxed, PBE-GGA.

Structure (POSCAR):
```
Rb2BSbI6
1.0
-4.1404 4.1404 5.8107
4.1404 -4.1404 5.8107
4.1404 4.1404 -5.8107
Rb B Sb I
2 1 1 6
Cartesian
4.1404 0.0000 2.9054
0.0000 4.1404 2.9054
0.0000 0.0000 0.0000
0.0000 0.0000 5.8107
0.0000 0.0000 2.7665
1.9899 1.9899 0.0000
2.1505 -2.1505 5.8107
-2.1505 2.1505 5.8107
2.1505 2.1505 5.8107
0.0000 0.0000 8.8549
```

Calculated values
Raw formation energy: -0.4088 eV/atom
VASP energy: -2.612 eV per atom
Crystal system: tetragonal